Here is crystalline AlCdNO at its relaxed geometry from OQMD. Energies are from PBE.

Summary:
E_tot in eV per atom: -5.653
Crystal system: orthorhombic
Space-group type: Pca2_1, No. 29
Offset from the most stable computed form in meV/atom: 97

POSCAR file:
```
AlCdNO
1.0
4.792 0.000 0.000
0.002 5.431 0.000
0.005 0.001 7.806
O N Cd Al
4 4 4 4
direct
0.361 0.127 0.452 O
0.361 0.627 0.548 O
0.861 0.373 0.452 O
0.861 0.873 0.548 O
0.958 0.486 0.833 N
0.958 0.986 0.167 N
0.458 0.514 0.167 N
0.458 0.014 0.833 N
0.975 0.563 0.122 Cd
0.475 0.437 0.878 Cd
0.475 0.937 0.122 Cd
0.975 0.063 0.878 Cd
0.004 0.076 0.385 Al
0.504 0.424 0.385 Al
0.504 0.924 0.615 Al
0.004 0.576 0.615 Al
```

Here is crystalline AlCdNO at its relaxed geometry from OQMD. Energies are from PBE.

Summary:
E_tot in eV per atom: -5.135
Crystal system: tetragonal
Space-group type: P4/nmm, No. 129
Offset from the most stable computed form in meV/atom: 615

POSCAR file:
```
AlCdNO
1.0
-1.831 2.824 2.157
0.268 -2.310 3.252
5.815 2.682 1.425
N Cd O Al
2 2 2 2
direct
0.750 0.750 0.506 N
0.250 0.250 0.494 N
0.250 0.250 0.129 Cd
0.750 0.750 0.871 Cd
0.250 0.750 0.000 O
0.750 0.250 0.000 O
0.750 0.250 0.500 Al
0.250 0.750 0.500 Al
```

Here is crystalline AlCdNO at its relaxed geometry from OQMD. Energies are from PBE.

Summary:
E_tot in eV per atom: -5.750
Crystal system: orthorhombic
Space-group type: Pmc2_1, No. 26
Offset from the most stable computed form in meV/atom: 0

POSCAR file:
```
AlCdNO
1.0
-1.619 -2.805 0.000
0.000 0.000 5.340
-5.149 2.973 0.000
N Cd O Al
2 2 2 2
direct
0.000 0.417 0.708 N
0.000 0.917 0.292 N
0.000 0.505 0.346 Cd
0.000 0.005 0.654 Cd
0.500 0.335 0.113 O
0.500 0.835 0.887 O
0.500 0.997 0.156 Al
0.500 0.497 0.844 Al
```

Here is crystalline Ta4AlCdN2 at its relaxed geometry from OQMD. Energies are from PBE.

Summary:
E_tot in eV per atom: -9.104
Crystal system: hexagonal
Space-group type: P-6m2, No. 187

POSCAR file:
```
Ta4AlCdN2
1.0
2.990 0.000 0.000
-1.495 2.589 0.000
0.000 0.000 14.969
N Al Ta Cd
2 1 4 1
direct
0.667 0.333 0.259 N
0.667 0.333 0.741 N
0.000 0.000 0.500 Al
0.000 0.000 0.832 Ta
0.000 0.000 0.168 Ta
0.333 0.667 0.649 Ta
0.333 0.667 0.351 Ta
0.333 0.667 0.000 Cd
```

Here is crystalline AlCdW4N2 at its relaxed geometry from OQMD. Energies are from PBE.

Summary:
E_tot in eV per atom: -9.027
Crystal system: hexagonal
Space-group type: P-6m2, No. 187

POSCAR file:
```
AlCdW4N2
1.0
-1.356 -2.026 -1.480
2.383 -0.634 1.431
-8.339 -3.447 12.359
W Cd N Al
4 1 2 1
direct
0.333 0.667 0.852 W
0.333 0.667 0.148 W
0.000 0.000 0.664 W
0.000 0.000 0.336 W
0.333 0.667 0.500 Cd
0.667 0.333 0.242 N
0.667 0.333 0.758 N
0.000 0.000 0.000 Al
```

Here is crystalline Zr4AlCdN2 at its relaxed geometry from OQMD. Energies are from PBE.

Summary:
E_tot in eV per atom: -7.950
Crystal system: hexagonal
Space-group type: P-6m2, No. 187

POSCAR file:
```
Zr4AlCdN2
1.0
3.282 0.000 0.000
-1.641 2.842 0.000
0.000 0.000 14.617
Cd Zr N Al
1 4 2 1
direct
0.667 0.333 0.500 Cd
0.000 0.000 0.329 Zr
0.667 0.333 0.157 Zr
0.667 0.333 0.843 Zr
0.000 0.000 0.671 Zr
0.333 0.667 0.245 N
0.333 0.667 0.755 N
0.000 0.000 0.000 Al
```